[1]
Compound: VHg2BiPb
Source: Alexandria
Functional: PBE
Structure: relaxed

Values from the calculation:
- SG: P4/mmm, No. 123
- DOS(E_F): 9.1 states/eV/f.u.
- Uncorrected energy: -2.146 eV/atom

a b c (Å): 5.5585 5.5585 6.2005
angles (deg): 90.00 90.00 90.00
Last column: nearest neighbours and their distance in Å.
Positions (direct):
1 V 0.0000 0.0000 0.0000  4 Bi 3.93, 8 Hg 4.16
2 Hg 0.0000 0.5000 0.5000  2 Pb 2.78
3 Hg 0.5000 0.0000 0.5000  2 Pb 2.78
4 Bi 0.5000 0.5000 0.0000  2 Pb 3.10
5 Pb 0.5000 0.5000 0.5000  4 Hg 2.78, 2 Bi 3.10

[2]
Compound: YHgBiPb
Source: Alexandria
Functional: PBE
Structure: relaxed

Values from the calculation:
- SG: F-43m, No. 216
- DOS(E_F): 3.7 states/eV/f.u.
- Uncorrected energy: -3.832 eV/atom

a b c (Å): 5.4764 5.4764 5.4764
angles (deg): 60.00 60.00 60.00
Last column: nearest neighbours and their distance in Å.
Positions (direct):
1 Y 0.0000 0.0000 0.0000  4 Hg 3.35, 4 Bi 3.35
2 Hg 0.7500 0.7500 0.7500  4 Pb 3.35, 4 Y 3.35
3 Bi 0.2500 0.2500 0.2500  4 Pb 3.35, 4 Y 3.35
4 Pb 0.5000 0.5000 0.5000  4 Hg 3.35, 4 Bi 3.35

[3]
Compound: ZnHg2BiPb
Source: Alexandria
Functional: PBE
Structure: relaxed

Values from the calculation:
- SG: P4/mmm, No. 123
- DOS(E_F): 2.1 states/eV/f.u.
- Uncorrected energy: -1.698 eV/atom

a b c (Å): 5.1326 5.1326 5.7100
angles (deg): 90.00 90.00 90.00
Last column: nearest neighbours and their distance in Å.
Positions (direct):
1 Zn 0.0000 0.0000 0.0000  4 Hg 2.57, 2 Bi 2.86
2 Hg 0.0000 0.5000 0.0000  2 Zn 2.57
3 Hg 0.5000 0.0000 0.0000  2 Zn 2.57
4 Bi 0.0000 0.0000 0.5000  2 Zn 2.86
5 Pb 0.5000 0.5000 0.5000  4 Bi 3.63, 8 Hg 3.84

[4]
Compound: HgBi3Pd
Source: Alexandria
Functional: PBE
Structure: relaxed

Values from the calculation:
- SG: C2/m, No. 12
- Excess energy over the best structure of this formula in the dataset: 0.00 eV per formula unit
- DOS(E_F): 2.0 states/eV/f.u.
- Uncorrected energy: -3.532 eV/atom

a b c (Å): 5.7141 5.7141 9.6437
angles (deg): 90.63 90.63 117.68
Last column: nearest neighbours and their distance in Å.
Positions (direct):
1 Hg 0.2475 0.2475 0.0685  2 Hg 3.19-3.29, 3 Bi 3.26-3.44
2 Hg 0.7525 0.7525 0.9315  2 Hg 3.19-3.29, 3 Bi 3.26-3.44
3 Bi 0.0901 0.4266 0.7559  2 Pd 2.98-2.99, 1 Bi 3.29
4 Bi 0.2465 0.2465 0.4066  4 Pd 3.00, 1 Hg 3.26
5 Bi 0.4266 0.0901 0.7559  2 Pd 2.98-2.99, 1 Bi 3.29
6 Bi 0.5734 0.9099 0.2441  2 Pd 2.98-2.99, 1 Bi 3.29
7 Bi 0.7535 0.7535 0.5934  4 Pd 3.00, 1 Hg 3.26
8 Bi 0.9099 0.5734 0.2441  2 Pd 2.98-2.99, 1 Bi 3.29
9 Pd 0.2501 0.7499 0.5000  2 Pd 2.96, 8 Bi 2.98-3.00
10 Pd 0.7499 0.2501 0.5000  2 Pd 2.96, 8 Bi 2.98-3.00

We obtain energy of formation from the pure elements values of 1.32 -0.24 0.20 -0.10 eV/atom for the records listed above, in that order.